[1]
ZrBePd3 | PBE | optimized geometry

Unit cell a=4.882 b=4.882 c=4.882 alpha=90.00 beta=90.00 gamma=90.00
Element x y z (fractional)
Zr  0.000  0.000  0.000
Be  0.500  0.500  0.500
Pd  0.000  0.000  0.500
Pd  0.000  0.500  0.000
Pd  0.500  0.000  0.000

* volume: 116.4 Å³ per cell
* size of the total moment: 0.0 μB per cell
* excess energy over the best structure of this formula in the dataset: 1.4312 eV/atom
* raw total energy: -4.512 eV per atom
* Fermi-level density of states: 2.19 states/eV/cell
* ΔH_f (0 K): 1059 meV per atom

=====

[2]
NdTm6Th | PBE | optimized geometry

Unit cell a=4.980 b=4.980 c=9.984 alpha=90.00 beta=90.00 gamma=90.00
Element x y z (fractional)
Nd  0.000  0.000  0.000
Tm  0.000  0.500  0.254
Tm  0.000  0.500  0.746
Tm  0.500  0.000  0.254
Tm  0.500  0.000  0.746
Tm  0.500  0.500  0.000
Tm  0.500  0.500  0.500
Th  0.000  0.000  0.500

* volume: 247.6 Å³ per cell
* size of the total moment: 0.0 μB per cell
* excess energy over the best structure of this formula in the dataset: 0.0000 eV/atom
* raw total energy: -4.848 eV per atom
* Fermi-level density of states: 12.32 states/eV/cell
* ΔH_f (0 K): 29 meV per atom

=====

[3]
Ti3PbO | PBE | optimized geometry

Unit cell a=5.235 b=5.235 c=5.235 alpha=90.00 beta=90.00 gamma=90.00
Element x y z (fractional)
Ti  0.000  0.000  0.500
Ti  0.000  0.500  0.000
Ti  0.500  0.000  0.000
Pb  0.000  0.000  0.000
O  0.500  0.500  0.500

* volume: 143.5 Å³ per cell
* size of the total moment: 5.9 μB per cell
* E_form (uncorrected): 1.53 eV/atom
* excess energy over the best structure of this formula in the dataset: 2.5236 eV/atom
* raw total energy: -4.942 eV per atom
* Fermi-level density of states: 6.29 states/eV/cell

=====

[4]
Cs2TbBr5 | PBE | optimized geometry

Unit cell a=10.278 b=7.967 c=16.254 alpha=90.00 beta=90.00 gamma=90.00
Element x y z (fractional)
Cs  0.033  0.250  0.206
Cs  0.171  0.750  0.414
Cs  0.329  0.250  0.914
Cs  0.467  0.750  0.706
Cs  0.533  0.250  0.294
Cs  0.671  0.750  0.086
Cs  0.829  0.250  0.586
Cs  0.967  0.750  0.794
Tb  0.184  0.750  0.063
Tb  0.316  0.250  0.563
Tb  0.684  0.750  0.437
Tb  0.816  0.250  0.937
Br  0.000  0.000  0.000
Br  0.000  0.500  0.000
Br  0.028  0.750  0.202
Br  0.158  0.506  0.615
Br  0.158  0.994  0.615
Br  0.215  0.250  0.401
Br  0.285  0.750  0.901
Br  0.342  0.006  0.115
Br  0.342  0.494  0.115
Br  0.472  0.250  0.702
Br  0.500  0.000  0.500
Br  0.500  0.500  0.500
Br  0.528  0.750  0.298
Br  0.658  0.506  0.885
Br  0.658  0.994  0.885
Br  0.715  0.250  0.099
Br  0.785  0.750  0.599
Br  0.842  0.006  0.385
Br  0.842  0.494  0.385
Br  0.972  0.250  0.798

* volume: 1331.0 Å³ per cell
* size of the total moment: 0.0 μB per cell
* E_form (uncorrected): -1.89 eV/atom
* excess energy over the best structure of this formula in the dataset: 0.0000 eV/atom
* raw total energy: -3.726 eV per atom
* Fermi-level density of states: 0.00 states/eV/cell

=====

[5]
Tb2HgBi | PBE | optimized geometry

Unit cell a=3.991 b=3.991 c=6.945 alpha=90.00 beta=90.00 gamma=90.00
Element x y z (fractional)
Tb  0.000  0.000  0.249
Tb  0.000  0.000  0.751
Hg  0.500  0.500  0.000
Bi  0.500  0.500  0.500

* volume: 110.6 Å³ per cell
* size of the total moment: 0.7 μB per cell
* excess energy over the best structure of this formula in the dataset: 0.0477 eV/atom
* raw total energy: -3.928 eV per atom
* Fermi-level density of states: 2.52 states/eV/cell
* ΔH_f (0 K): -567 meV per atom

=====

[6]
Dy3Mg2Pb | PBE | optimized geometry

Unit cell a=5.365 b=5.365 c=6.559 alpha=90.00 beta=90.00 gamma=120.00
Element x y z (fractional)
Dy  0.000  0.000  0.000
Dy  0.333  0.667  0.664
Dy  0.667  0.333  0.336
Mg  0.333  0.667  0.146
Mg  0.667  0.333  0.854
Pb  0.000  0.000  0.500

* volume: 163.5 Å³ per cell
* size of the total moment: 0.0 μB per cell
* raw total energy: -3.682 eV per atom
* Fermi-level density of states: 5.88 states/eV/cell
* ΔH_f (0 K): -231 meV per atom

=====

[7]
NbIr5RhW2 | PBE | optimized geometry

Unit cell a=7.581 b=7.581 c=7.581 alpha=121.62 beta=121.62 gamma=87.21
Element x y z (fractional)
Nb  0.250  0.250  0.000
Nb  0.750  0.750  0.000
Ir  0.000  0.000  0.000
Ir  0.071  0.571  0.904
Ir  0.166  0.071  0.500
Ir  0.334  0.834  0.904
Ir  0.429  0.334  0.500
Ir  0.500  0.500  0.000
Ir  0.571  0.666  0.500
Ir  0.666  0.166  0.096
Ir  0.834  0.929  0.500
Ir  0.929  0.429  0.096
Rh  0.250  0.750  0.500
Rh  0.750  0.250  0.500
W  0.115  0.385  0.500
W  0.385  0.885  0.270
W  0.615  0.115  0.730
W  0.885  0.615  0.500

* volume: 300.1 Å³ per cell
* size of the total moment: 0.0 μB per cell
* raw total energy: -9.340 eV per atom
* Fermi-level density of states: 20.40 states/eV/cell
* ΔH_f (0 K): 397 meV per atom

=====

[8]
TlSbAs2Br | PBE | optimized geometry

Unit cell a=5.344 b=5.344 c=5.934 alpha=90.00 beta=90.00 gamma=90.00
Element x y z (fractional)
Tl  0.000  0.000  0.000
Sb  0.500  0.500  0.500
As  0.000  0.500  0.500
As  0.500  0.000  0.500
Br  0.500  0.500  0.000

* volume: 169.5 Å³ per cell
* size of the total moment: 1.0 μB per cell
* E_form (uncorrected): 0.33 eV/atom
* excess energy over the best structure of this formula in the dataset: 0.0000 eV/atom
* raw total energy: -3.160 eV per atom
* Fermi-level density of states: 3.54 states/eV/cell

=====

[9]
AlCdIr2 | PBE | optimized geometry

Unit cell a=4.797 b=4.797 c=4.951 alpha=105.01 beta=105.01 gamma=35.02
Element x y z (fractional)
Al  0.000  0.000  0.000
Cd  0.500  0.500  0.500
Ir  0.270  0.270  0.773
Ir  0.730  0.730  0.227

* volume: 62.9 Å³ per cell
* size of the total moment: 0.0 μB per cell
* raw total energy: -5.755 eV per atom
* Fermi-level density of states: 2.71 states/eV/cell
* ΔH_f (0 K): -161 meV per atom

=====

[10]
Ce3Y3In2Fe | PBE | optimized geometry

Unit cell a=8.602 b=8.602 c=3.726 alpha=90.00 beta=90.00 gamma=120.00
Element x y z (fractional)
Ce  0.000  0.771  0.000
Ce  0.229  0.229  0.000
Ce  0.771  0.000  0.000
Y  0.000  0.402  0.500
Y  0.402  0.000  0.500
Y  0.598  0.598  0.500
In  0.333  0.667  0.000
In  0.667  0.333  0.000
Fe  0.000  0.000  0.500

* volume: 238.8 Å³ per cell
* size of the total moment: 0.9 μB per cell
* raw total energy: -5.910 eV per atom
* Fermi-level density of states: 15.00 states/eV/cell
* ΔH_f (0 K): -228 meV per atom

=====

[11]
Na12Hg6Pd | PBE | optimized geometry

Unit cell a=8.010 b=8.010 c=8.010 alpha=87.96 beta=87.96 gamma=87.96
Element x y z (fractional)
Na  0.031  0.930  0.308
Na  0.070  0.692  0.969
Na  0.137  0.476  0.359
Na  0.308  0.031  0.930
Na  0.359  0.137  0.476
Na  0.476  0.359  0.137
Na  0.524  0.641  0.863
Na  0.641  0.863  0.524
Na  0.692  0.969  0.070
Na  0.863  0.524  0.641
Na  0.930  0.308  0.031
Na  0.969  0.070  0.692
Hg  0.235  0.394  0.753
Hg  0.247  0.765  0.606
Hg  0.394  0.753  0.235
Hg  0.606  0.247  0.765
Hg  0.753  0.235  0.394
Hg  0.765  0.606  0.247
Pd  0.500  0.500  0.500

* volume: 512.9 Å³ per cell
* size of the total moment: 0.0 μB per cell
* raw total energy: -1.383 eV per atom
* Fermi-level density of states: 6.49 states/eV/cell
* ΔH_f (0 K): -181 meV per atom

=====

[12]
UTa2Ti | PBE | optimized geometry

Unit cell a=3.378 b=3.378 c=6.539 alpha=90.00 beta=90.00 gamma=90.00
Element x y z (fractional)
U  0.000  0.000  0.000
Ta  0.500  0.500  0.245
Ta  0.500  0.500  0.755
Ti  0.000  0.000  0.500

* volume: 74.6 Å³ per cell
* size of the total moment: 0.0 μB per cell
* excess energy over the best structure of this formula in the dataset: 0.0921 eV/atom
* raw total energy: -10.470 eV per atom
* Fermi-level density of states: 5.28 states/eV/cell
* ΔH_f (0 K): 252 meV per atom

=====

[13]
PmLuN | PBE | optimized geometry

Unit cell a=5.053 b=5.053 c=5.053 alpha=125.44 beta=125.44 gamma=80.81
Element x y z (fractional)
Pm  0.000  0.000  0.000
Lu  0.538  0.538  0.000
N  0.277  0.277  0.000

* volume: 82.5 Å³ per cell
* size of the total moment: 0.0 μB per cell
* E_form (uncorrected): 0.18 eV/atom
* excess energy over the best structure of this formula in the dataset: 1.1764 eV/atom
* raw total energy: -5.688 eV per atom
* Fermi-level density of states: 1.65 states/eV/cell

=====

[14]
TeH6Pd12 | PBE | optimized geometry

Unit cell a=6.548 b=6.548 c=6.548 alpha=104.39 beta=104.39 gamma=104.39
Element x y z (fractional)
Te  0.000  0.000  0.000
H  0.164  0.164  0.509
H  0.164  0.509  0.164
H  0.491  0.836  0.836
H  0.509  0.164  0.164
H  0.836  0.491  0.836
H  0.836  0.836  0.491
Pd  0.131  0.500  0.869
Pd  0.131  0.869  0.500
Pd  0.181  0.448  0.448
Pd  0.448  0.181  0.448
Pd  0.448  0.448  0.181
Pd  0.500  0.131  0.869
Pd  0.500  0.869  0.131
Pd  0.552  0.552  0.819
Pd  0.552  0.819  0.552
Pd  0.819  0.552  0.552
Pd  0.869  0.131  0.500
Pd  0.869  0.500  0.131

* volume: 248.6 Å³ per cell
* size of the total moment: 0.0 μB per cell
* raw total energy: -4.353 eV per atom
* Fermi-level density of states: 15.48 states/eV/cell

=====

[15]
Ho3Er8Tm3 | PBE | optimized geometry

Unit cell a=9.479 b=9.479 c=9.479 alpha=146.12 beta=111.88 gamma=78.30
Element x y z (fractional)
Ho  0.000  0.000  0.000
Ho  0.298  0.000  0.298
Ho  0.702  0.000  0.702
Er  0.055  0.396  0.659
Er  0.064  0.222  0.841
Er  0.262  0.604  0.659
Er  0.381  0.222  0.159
Er  0.619  0.778  0.841
Er  0.738  0.396  0.341
Er  0.936  0.778  0.159
Er  0.945  0.604  0.341
Tm  0.318  0.818  0.500
Tm  0.500  0.500  0.000
Tm  0.682  0.182  0.500

* volume: 431.1 Å³ per cell
* size of the total moment: 0.0 μB per cell
* raw total energy: -4.422 eV per atom
* Fermi-level density of states: 21.00 states/eV/cell
* ΔH_f (0 K): 124 meV per atom

=====

[16]
LiMgCr2 | PBE | optimized geometry

Unit cell a=10.043 b=10.043 c=10.043 alpha=160.57 beta=160.57 gamma=27.61
Element x y z (fractional)
Li  0.000  0.000  0.000
Li  0.750  0.250  0.500
Mg  0.250  0.750  0.500
Mg  0.500  0.500  0.000
Cr  0.122  0.625  0.997
Cr  0.375  0.372  0.497
Cr  0.628  0.125  0.003
Cr  0.875  0.878  0.503

* volume: 112.0 Å³ per cell
* size of the total moment: 0.0 μB per cell
* raw total energy: -4.922 eV per atom
* Fermi-level density of states: 7.43 states/eV/cell
* ΔH_f (0 K): 767 meV per atom

=====

[17]
KCuHg2Se | PBE | optimized geometry

Unit cell a=5.284 b=5.284 c=5.033 alpha=90.00 beta=90.00 gamma=90.00
Element x y z (fractional)
K  0.000  0.000  0.000
Cu  0.500  0.500  0.500
Hg  0.000  0.500  0.500
Hg  0.500  0.000  0.500
Se  0.500  0.500  0.000

* volume: 140.5 Å³ per cell
* size of the total moment: 0.0 μB per cell
* E_form (uncorrected): -0.27 eV/atom
* raw total energy: -2.124 eV per atom
* Fermi-level density of states: 0.76 states/eV/cell